# SnTeSeN2 | Alexandria | PBE | relaxed
# Calculated density in Mg/m³: 6.2
# Volume in Å³ per cell: 94.9
# DOS at the Fermi energy in states/eV/atom: 0.159
# Formation energy from raw total energies in eV/atom: 1.12
# Spin magnetization in μB/f.u.: 0.00
# E above lowest polymorph in meV/atom: 0
data_SnTeSeN2
_cell_length_a 4.107
_cell_length_b 4.107
_cell_length_c 5.627
_cell_angle_alpha 90.00
_cell_angle_beta 90.00
_cell_angle_gamma 90.00
_symmetry_space_group_name_H-M 'P 4/m m m'
_symmetry_Int_Tables_number 123
_symmetry_space_group_name_Hall '-P 4 2'
loop_
_atom_site_label
_atom_site_type_symbol
_atom_site_fract_x
_atom_site_fract_y
_atom_site_fract_z
Sn1 Sn 0.000 0.000 0.000
Te1 Te 0.500 0.500 0.500
Se1 Se 0.500 0.500 0.000
N1 N 0.000 0.500 0.500


# BeHgRh2 | Alexandria | PBE | relaxed
# Calculated density in Mg/m³: 11.7
# Volume in Å³ per cell: 117.9
# DOS at the Fermi energy in states/eV/atom: 1.021
# Spin magnetization in μB/f.u.: 0.00
# E above lowest polymorph in meV/atom: 266
data_BeHgRh2
_cell_length_a 6.096
_cell_length_b 6.105
_cell_length_c 3.169
_cell_angle_alpha 90.00
_cell_angle_beta 90.00
_cell_angle_gamma 90.00
_symmetry_space_group_name_H-M 'C m m m'
_symmetry_Int_Tables_number 65
_symmetry_space_group_name_Hall '-C 2 2'
loop_
_atom_site_label
_atom_site_type_symbol
_atom_site_fract_x
_atom_site_fract_y
_atom_site_fract_z
Be1 Be 0.000 0.000 0.000
Hg1 Hg 0.000 0.500 0.000
Rh1 Rh 0.250 0.250 0.500


# Ag2ClF | Alexandria | PBE | relaxed
# Calculated density in Mg/m³: 4.8
# Volume in Å³ per cell: 374.6
# DOS at the Fermi energy in states/eV/atom: 0.000
# Formation energy from raw total energies in eV/atom: -0.67
# Spin magnetization in μB/f.u.: 0.00
# E above lowest polymorph in meV/atom: 24
data_Ag2ClF
_cell_length_a 5.466
_cell_length_b 5.466
_cell_length_c 12.537
_cell_angle_alpha 90.00
_cell_angle_beta 90.00
_cell_angle_gamma 90.00
_symmetry_space_group_name_H-M 'I -4 2 d'
_symmetry_Int_Tables_number 122
_symmetry_space_group_name_Hall 'I -4 2bw'
loop_
_atom_site_label
_atom_site_type_symbol
_atom_site_fract_x
_atom_site_fract_y
_atom_site_fract_z
Ag1 Ag 0.213 0.250 0.125
Cl1 Cl 0.000 0.000 0.500
F1 F 0.000 0.000 0.000


# MgAg2Ge | Alexandria | PBE | relaxed
# Calculated density in Mg/m³: 6.9
# Volume in Å³ per cell: 149.5
# DOS at the Fermi energy in states/eV/atom: 0.410
# Spin magnetization in μB/f.u.: 0.00
# Energy in eV/atom: -2.94
data_MgAg2Ge
_cell_length_a 5.049
_cell_length_b 3.243
_cell_length_c 9.204
_cell_angle_alpha 90.00
_cell_angle_beta 97.36
_cell_angle_gamma 90.00
_symmetry_space_group_name_H-M 'C 1 m 1'
_symmetry_Int_Tables_number 8
loop_
_symmetry_equiv_pos_as_xyz
'x,y,z'
'x,-y,z'
'x+1/2,y+1/2,z'
'x+1/2,-y+1/2,z'
loop_
_atom_site_label
_atom_site_type_symbol
_atom_site_fract_x
_atom_site_fract_y
_atom_site_fract_z
Mg1 Mg 0.000 0.000 0.000
Ag1 Ag 0.056 0.500 0.752
Ag2 Ag 0.443 0.000 0.247
Ge1 Ge 0.155 0.000 0.500


# LaTm2Au | Alexandria | PBE | relaxed
# Calculated density in Mg/m³: 9.9
# Volume in Å³ per cell: 112.4
# DOS at the Fermi energy in states/eV/atom: 1.332
# Spin magnetization in μB/f.u.: 0.00
# E above lowest polymorph in meV/atom: 0
data_LaTm2Au
_cell_length_a 3.598
_cell_length_b 3.598
_cell_length_c 8.685
_cell_angle_alpha 90.00
_cell_angle_beta 90.00
_cell_angle_gamma 90.00
_symmetry_space_group_name_H-M 'P 4/m m m'
_symmetry_Int_Tables_number 123
_symmetry_space_group_name_Hall '-P 4 2'
loop_
_atom_site_label
_atom_site_type_symbol
_atom_site_fract_x
_atom_site_fract_y
_atom_site_fract_z
La1 La 0.000 0.000 0.000
Tm1 Tm 0.500 0.500 0.305
Au1 Au 0.000 0.000 0.500


# Tl2HgP | Alexandria | PBE | relaxed
# Calculated density in Mg/m³: 10.0
# Volume in Å³ per cell: 213.6
# DOS at the Fermi energy in states/eV/atom: 0.399
# Spin magnetization in μB/f.u.: 0.00
# E above lowest polymorph in meV/atom: 117
data_Tl2HgP
_cell_length_a 3.441
_cell_length_b 5.335
_cell_length_c 11.637
_cell_angle_alpha 90.00
_cell_angle_beta 90.00
_cell_angle_gamma 90.00
_symmetry_space_group_name_H-M 'I m m 2'
_symmetry_Int_Tables_number 44
loop_
_symmetry_equiv_pos_as_xyz
'x,y,z'
'-x,-y,z'
'-x,y,z'
'x,-y,z'
'x+1/2,y+1/2,z+1/2'
'-x+1/2,-y+1/2,z+1/2'
'-x+1/2,y+1/2,z+1/2'
'x+1/2,-y+1/2,z+1/2'
loop_
_atom_site_label
_atom_site_type_symbol
_atom_site_fract_x
_atom_site_fract_y
_atom_site_fract_z
Tl1 Tl 0.000 0.000 0.000
Tl2 Tl 0.000 0.500 0.203
Hg1 Hg 0.000 0.500 0.788
P1 P 0.000 0.000 0.492


# HfNbIn2 | Alexandria | PBE | relaxed
# Calculated density in Mg/m³: 9.9
# Volume in Å³ per cell: 167.4
# DOS at the Fermi energy in states/eV/atom: 0.794
# Spin magnetization in μB/f.u.: 0.00
# E above lowest polymorph in meV/atom: 59
data_HfNbIn2
_cell_length_a 4.208
_cell_length_b 4.208
_cell_length_c 9.454
_cell_angle_alpha 90.00
_cell_angle_beta 90.00
_cell_angle_gamma 90.00
_symmetry_space_group_name_H-M 'I -4 m 2'
_symmetry_Int_Tables_number 119
_symmetry_space_group_name_Hall 'I -4 -2'
loop_
_atom_site_label
_atom_site_type_symbol
_atom_site_fract_x
_atom_site_fract_y
_atom_site_fract_z
Hf1 Hf 0.000 0.000 0.000
Nb1 Nb 0.000 0.500 0.250
In1 In 0.000 0.000 0.500
In2 In 0.000 0.500 0.750


# TaTl2Ru | Alexandria | PBE | relaxed
# Calculated density in Mg/m³: 14.6
# Volume in Å³ per cell: 157.3
# DOS at the Fermi energy in states/eV/atom: 0.793
# Spin magnetization in μB/f.u.: 1.32
# E above lowest polymorph in meV/atom: 582
data_TaTl2Ru
_cell_length_a 4.244
_cell_length_b 4.244
_cell_length_c 8.730
_cell_angle_alpha 90.00
_cell_angle_beta 90.00
_cell_angle_gamma 90.00
_symmetry_space_group_name_H-M 'I 4/m m m'
_symmetry_Int_Tables_number 139
_symmetry_space_group_name_Hall '-I 4 2'
loop_
_atom_site_label
_atom_site_type_symbol
_atom_site_fract_x
_atom_site_fract_y
_atom_site_fract_z
Ta1 Ta 0.000 0.000 0.000
Tl1 Tl 0.000 0.500 0.250
Ru1 Ru 0.000 0.000 0.500


# ZrAlSi4 | Alexandria | PBE | relaxed
# Calculated density in Mg/m³: 4.2
# Volume in Å³ per cell: 365.0
# DOS at the Fermi energy in states/eV/atom: 0.685
# Formation energy from raw total energies in eV/atom: -0.02
# Spin magnetization in μB/f.u.: 0.00
# E above lowest polymorph in meV/atom: 0
data_ZrAlSi4
_cell_length_a 7.146
_cell_length_b 7.146
_cell_length_c 7.146
_cell_angle_alpha 90.00
_cell_angle_beta 90.00
_cell_angle_gamma 90.00
_symmetry_space_group_name_H-M 'F -4 3 m'
_symmetry_Int_Tables_number 216
_symmetry_space_group_name_Hall 'F -4 2 3'
loop_
_atom_site_label
_atom_site_type_symbol
_atom_site_fract_x
_atom_site_fract_y
_atom_site_fract_z
Zr1 Zr 0.000 0.000 0.000
Al1 Al 0.250 0.250 0.750
Si1 Si 0.125 0.125 0.375


# CsLaC2O6 | Alexandria | PBE | relaxed
# Calculated density in Mg/m³: 4.0
# Volume in Å³ per cell: 652.8
# DOS at the Fermi energy in states/eV/atom: 0.000
# Formation energy from raw total energies in eV/atom: -2.16
# Spin magnetization in μB/f.u.: 0.00
data_CsLaC2O6
_cell_length_a 9.333
_cell_length_b 9.837
_cell_length_c 7.676
_cell_angle_alpha 90.00
_cell_angle_beta 112.13
_cell_angle_gamma 90.00
_symmetry_space_group_name_H-M 'C 1 2/c 1'
_symmetry_Int_Tables_number 15
loop_
_symmetry_equiv_pos_as_xyz
'x,y,z'
'-x,-y,-z'
'-x,y,-z+1/2'
'x,-y,z+1/2'
'x+1/2,y+1/2,z'
'-x+1/2,-y+1/2,-z'
'-x+1/2,y+1/2,-z+1/2'
'x+1/2,-y+1/2,z+1/2'
loop_
_atom_site_label
_atom_site_type_symbol
_atom_site_fract_x
_atom_site_fract_y
_atom_site_fract_z
Cs1 Cs 0.000 0.109 0.250
La1 La 0.000 0.399 0.750
C1 C 0.224 0.378 0.243
O1 O 0.089 0.384 0.102
O2 O 0.178 0.216 0.745
O3 O 0.248 0.028 0.629


# ThGa4CuPd2 | Alexandria | PBE | relaxed
# Calculated density in Mg/m³: 9.3
# Volume in Å³ per cell: 422.3
# DOS at the Fermi energy in states/eV/atom: 0.433
# Spin magnetization in μB/f.u.: 0.00
# Energy in eV/atom: -4.75
data_ThGa4CuPd2
_cell_length_a 4.3265
_cell_length_b 4.3265
_cell_length_c 26.0499
_cell_angle_alpha 90.00
_cell_angle_beta 90.00
_cell_angle_gamma 120.00
_symmetry_space_group_name_H-M 'R -3 m'
_symmetry_Int_Tables_number 166
_symmetry_space_group_name_Hall '-R 3 2"'
loop_
_atom_site_label
_atom_site_type_symbol
_atom_site_fract_x
_atom_site_fract_y
_atom_site_fract_z
Th1 Th 0.0000 0.0000 0.0000
Ga1 Ga 0.0000 0.0000 0.1299
Ga2 Ga 0.0000 0.0000 0.4009
Cu1 Cu 0.0000 0.0000 0.5000
Pd1 Pd 0.0000 0.0000 0.2361


# Pm4GeO | Alexandria | PBE | relaxed
# Calculated density in Mg/m³: 7.4
# Volume in Å³ per cell: 602.8
# DOS at the Fermi energy in states/eV/atom: 0.934
# Formation energy from raw total energies in eV/atom: -1.09
# Spin magnetization in μB/f.u.: 0.00
data_Pm4GeO
_cell_length_a 15.181
_cell_length_b 5.668
_cell_length_c 7.424
_cell_angle_alpha 90.00
_cell_angle_beta 109.34
_cell_angle_gamma 90.00
_symmetry_space_group_name_H-M 'C 1 2/c 1'
_symmetry_Int_Tables_number 15
loop_
_symmetry_equiv_pos_as_xyz
'x,y,z'
'-x,-y,-z'
'-x,y,-z+1/2'
'x,-y,z+1/2'
'x+1/2,y+1/2,z'
'-x+1/2,-y+1/2,-z'
'-x+1/2,y+1/2,-z+1/2'
'x+1/2,-y+1/2,z+1/2'
loop_
_atom_site_label
_atom_site_type_symbol
_atom_site_fract_x
_atom_site_fract_y
_atom_site_fract_z
Pm1 Pm 0.102 0.013 0.415
Pm2 Pm 0.185 0.484 0.194
Ge1 Ge 0.000 0.464 0.750
O1 O 0.250 0.250 0.500


# Li3Ac2AgPb4 | Alexandria | PBE | relaxed
# Calculated density in Mg/m³: 8.9
# Volume in Å³ per cell: 263.7
# DOS at the Fermi energy in states/eV/atom: 0.497
# Spin magnetization in μB/f.u.: 0.00
# Energy in eV/atom: -3.58
data_Li3Ac2AgPb4
_cell_length_a 4.834
_cell_length_b 4.834
_cell_length_c 11.288
_cell_angle_alpha 90.00
_cell_angle_beta 90.00
_cell_angle_gamma 90.00
_symmetry_space_group_name_H-M 'P -4 m 2'
_symmetry_Int_Tables_number 115
loop_
_symmetry_equiv_pos_as_xyz
'x,y,z'
'y,-x,-z'
'-x,-y,z'
'-y,x,-z'
'-x,y,z'
'-y,-x,-z'
'x,-y,z'
'y,x,-z'
loop_
_atom_site_label
_atom_site_type_symbol
_atom_site_fract_x
_atom_site_fract_y
_atom_site_fract_z
Li1 Li 0.000 0.000 0.000
Li2 Li 0.000 0.500 0.628
Ac1 Ac 0.000 0.500 0.242
Ag1 Ag 0.500 0.500 0.000
Pb1 Pb 0.000 0.000 0.500
Pb2 Pb 0.000 0.500 0.865
Pb3 Pb 0.500 0.500 0.500


# KPaS2 | Alexandria | PBE | relaxed
# Calculated density in Mg/m³: 5.2
# Volume in Å³ per cell: 317.5
# DOS at the Fermi energy in states/eV/atom: 1.163
# Formation energy from raw total energies in eV/atom: -1.45
# Spin magnetization in μB/f.u.: 1.94
data_KPaS2
_cell_length_a 3.9780
_cell_length_b 3.9780
_cell_length_c 23.1684
_cell_angle_alpha 90.00
_cell_angle_beta 90.00
_cell_angle_gamma 120.00
_symmetry_space_group_name_H-M 'R 3 m'
_symmetry_Int_Tables_number 160
_symmetry_space_group_name_Hall 'R 3 -2"'
loop_
_atom_site_label
_atom_site_type_symbol
_atom_site_fract_x
_atom_site_fract_y
_atom_site_fract_z
K1 K 0.0000 0.0000 0.0000
Pa1 Pa 0.0000 0.0000 0.8293
S1 S 0.0000 0.0000 0.2321
S2 S 0.0000 0.0000 0.4270


# LiSbTe2 | Alexandria | PBE | relaxed
# Calculated density in Mg/m³: 5.6
# Volume in Å³ per cell: 114.0
# DOS at the Fermi energy in states/eV/atom: 0.329
# Formation energy from raw total energies in eV/atom: -0.28
# Spin magnetization in μB/f.u.: 0.00
data_LiSbTe2
_cell_length_a 3.308
_cell_length_b 4.233
_cell_length_c 8.300
_cell_angle_alpha 90.00
_cell_angle_beta 101.12
_cell_angle_gamma 90.00
_symmetry_space_group_name_H-M 'P 1 2/m 1'
_symmetry_Int_Tables_number 10
loop_
_symmetry_equiv_pos_as_xyz
'x,y,z'
'-x,-y,-z'
'-x,y,-z'
'x,-y,z'
loop_
_atom_site_label
_atom_site_type_symbol
_atom_site_fract_x
_atom_site_fract_y
_atom_site_fract_z
Li1 Li 0.000 0.000 0.000
Sb1 Sb 0.500 0.000 0.500
Te1 Te 0.417 0.500 0.225


# ErTm6Ni2 | Alexandria | PBE | relaxed
# Calculated density in Mg/m³: 9.4
# Volume in Å³ per cell: 912.7
# DOS at the Fermi energy in states/eV/atom: 1.383
# Spin magnetization in μB/f.u.: 0.00
# Energy in eV/atom: -4.92
data_ErTm6Ni2
_cell_length_a 9.375
_cell_length_b 9.637
_cell_length_c 10.102
_cell_angle_alpha 90.00
_cell_angle_beta 90.00
_cell_angle_gamma 90.00
_symmetry_space_group_name_H-M 'I m m m'
_symmetry_Int_Tables_number 71
_symmetry_space_group_name_Hall '-I 2 2'
loop_
_atom_site_label
_atom_site_type_symbol
_atom_site_fract_x
_atom_site_fract_y
_atom_site_fract_z
Er1 Er 0.000 0.000 0.000
Er2 Er 0.000 0.000 0.500
Tm1 Tm 0.000 0.306 0.181
Tm2 Tm 0.186 0.283 0.500
Tm3 Tm 0.214 0.000 0.254
Ni1 Ni 0.000 0.500 0.380
Ni2 Ni 0.178 0.500 0.000


# MgCo2Sb | Alexandria | PBE | relaxed
# Calculated density in Mg/m³: 7.1
# Volume in Å³ per cell: 124.1
# DOS at the Fermi energy in states/eV/atom: 0.933
# Formation energy from raw total energies in eV/atom: 0.20
# Spin magnetization in μB/f.u.: 1.39
data_MgCo2Sb
_cell_length_a 8.269
_cell_length_b 3.073
_cell_length_c 4.992
_cell_angle_alpha 90.00
_cell_angle_beta 101.81
_cell_angle_gamma 90.00
_symmetry_space_group_name_H-M 'C 1 2/m 1'
_symmetry_Int_Tables_number 12
loop_
_symmetry_equiv_pos_as_xyz
'x,y,z'
'-x,-y,-z'
'-x,y,-z'
'x,-y,z'
'x+1/2,y+1/2,z'
'-x+1/2,-y+1/2,-z'
'-x+1/2,y+1/2,-z'
'x+1/2,-y+1/2,z'
loop_
_atom_site_label
_atom_site_type_symbol
_atom_site_fract_x
_atom_site_fract_y
_atom_site_fract_z
Mg1 Mg 0.000 0.000 0.000
Co1 Co 0.244 0.000 0.726
Sb1 Sb 0.000 0.500 0.500


# PrSO4F | Alexandria | PBE | relaxed
# Calculated density in Mg/m³: 3.9
# Volume in Å³ per cell: 435.0
# DOS at the Fermi energy in states/eV/atom: 0.000
# Formation energy from raw total energies in eV/atom: -2.49
# Spin magnetization in μB/f.u.: 0.00
data_PrSO4F
_cell_length_a 9.321
_cell_length_b 7.268
_cell_length_c 6.650
_cell_angle_alpha 90.00
_cell_angle_beta 105.07
_cell_angle_gamma 90.00
_symmetry_space_group_name_H-M 'C 1 2/m 1'
_symmetry_Int_Tables_number 12
loop_
_symmetry_equiv_pos_as_xyz
'x,y,z'
'-x,-y,-z'
'-x,y,-z'
'x,-y,z'
'x+1/2,y+1/2,z'
'-x+1/2,-y+1/2,-z'
'-x+1/2,y+1/2,-z'
'x+1/2,-y+1/2,z'
loop_
_atom_site_label
_atom_site_type_symbol
_atom_site_fract_x
_atom_site_fract_y
_atom_site_fract_z
Pr1 Pr 0.211 0.000 0.132
S1 S 0.147 0.500 0.270
O1 O 0.012 0.500 0.745
O2 O 0.188 0.337 0.155
O3 O 0.236 0.500 0.487
F1 F 0.024 0.000 0.819


# Ca2HPd6Pb | Alexandria | PBE | relaxed
# Calculated density in Mg/m³: 8.3
# Volume in Å³ per cell: 372.6
# DOS at the Fermi energy in states/eV/atom: 0.172
# Spin magnetization in μB/f.u.: 0.00
# Energy in eV/atom: -4.70
data_Ca2HPd6Pb
_cell_length_a 10.029
_cell_length_b 5.794
_cell_length_c 7.207
_cell_angle_alpha 90.00
_cell_angle_beta 117.16
_cell_angle_gamma 90.00
_symmetry_space_group_name_H-M 'C 1 2/m 1'
_symmetry_Int_Tables_number 12
loop_
_symmetry_equiv_pos_as_xyz
'x,y,z'
'-x,-y,-z'
'-x,y,-z'
'x,-y,z'
'x+1/2,y+1/2,z'
'-x+1/2,-y+1/2,-z'
'-x+1/2,y+1/2,-z'
'x+1/2,-y+1/2,z'
loop_
_atom_site_label
_atom_site_type_symbol
_atom_site_fract_x
_atom_site_fract_y
_atom_site_fract_z
Ca1 Ca 0.235 0.000 0.200
H1 H 0.000 0.000 0.500
Pd1 Pd 0.028 0.248 0.329
Pd2 Pd 0.222 0.000 0.676
Pb1 Pb 0.000 0.500 0.000


# LiHf2Pb | Alexandria | PBE | relaxed
# Calculated density in Mg/m³: 10.8
# Volume in Å³ per cell: 351.9
# DOS at the Fermi energy in states/eV/atom: 0.684
# Spin magnetization in μB/f.u.: 0.00
# Energy in eV/atom: -5.96
data_LiHf2Pb
_cell_length_a 7.908
_cell_length_b 7.908
_cell_length_c 5.626
_cell_angle_alpha 90.00
_cell_angle_beta 90.00
_cell_angle_gamma 90.00
_symmetry_space_group_name_H-M 'I -4 2 d'
_symmetry_Int_Tables_number 122
_symmetry_space_group_name_Hall 'I -4 2bw'
loop_
_atom_site_label
_atom_site_type_symbol
_atom_site_fract_x
_atom_site_fract_y
_atom_site_fract_z
Li1 Li 0.000 0.000 0.000
Hf1 Hf 0.238 0.250 0.125
Pb1 Pb 0.000 0.000 0.500